Material: Al2ZnNi2
Method: DFT, PBEsol
State: relaxed

The energy of formation from the pure elements is -0.456 eV per atom.

Cell lengths 2.8617, 6.6530, 6.6530 Å; angles 90.00, 90.00, 90.00 degrees
Element x y z (fractional)
Ni: 0.0000 0.3563 0.8563
Ni: 0.0000 0.8563 0.6437
Ni: 0.0000 0.6437 0.1437
Ni: 0.0000 0.1437 0.3563
Zn: 0.0000 0.0000 0.0000
Zn: 0.0000 0.5000 0.5000
Al: 0.5000 0.1522 0.6522
Al: 0.5000 0.6522 0.8478
Al: 0.5000 0.8478 0.3478
Al: 0.5000 0.3478 0.1522

***

Material: InSb2TeOs
Method: DFT, PBEsol
State: relaxed

The uncorrected formation energy is 2.8 eV/f.u.

Cell lengths 4.9775, 4.9775, 5.7843 Å; angles 90.00, 90.00, 90.00 degrees
Element x y z (fractional)
Sb: 0.0000 0.5000 0.0000
Sb: 0.5000 0.0000 0.0000
Te: 0.0000 0.0000 0.5000
Os: 0.0000 0.0000 0.0000
In: 0.5000 0.5000 0.5000

***

Material: Zr2TaOs
Method: DFT, PBEsol
State: relaxed

The distance to the lowest polymorph of the same formula is 15.1 kJ/mol of atoms. The energy of formation from the pure elements is -0.085 eV per atom.

Cell lengths 2.9892, 4.5766, 5.3933 Å; angles 90.00, 102.56, 90.00 degrees
Element x y z (fractional)
Os: 0.5000 0.5000 0.0000
Ta: 0.0000 0.5000 0.5000
Zr: 0.7264 0.0000 0.7588
Zr: 0.2736 0.0000 0.2412

***

Material: Y2ReAu
Method: DFT, PBEsol
State: relaxed

The energy of formation from the pure elements is -0.199 eV per atom.

Cell lengths 4.8810, 4.8810, 4.8810 Å; angles 60.00, 60.00, 60.00 degrees
Element x y z (fractional)
Au: 0.0000 0.0000 0.0000
Re: 0.5000 0.5000 0.5000
Y: 0.7500 0.7500 0.7500
Y: 0.2500 0.2500 0.2500

***

Material: MnRu2
Method: DFT, PBEsol
State: relaxed

The energy of formation from the pure elements is 0.018 eV per atom.

Cell lengths 2.6392, 4.8975, 6.1241 Å; angles 103.24, 90.00, 105.63 degrees
Element x y z (fractional)
Mn: 0.0290 0.0580 0.8083
Mn: 0.9710 0.9420 0.1917
Ru: 0.6365 0.2730 0.5312
Ru: 0.3129 0.6259 0.8662
Ru: 0.6871 0.3741 0.1338
Ru: 0.3635 0.7270 0.4688

***

Material: ZnRuPb
Method: DFT, PBEsol
State: relaxed

The energy of formation from the pure elements is 0.467 eV per atom.

Cell lengths 3.1049, 3.1049, 6.5403 Å; angles 90.00, 90.00, 120.00 degrees
Element x y z (fractional)
Pb: 0.0000 0.0000 0.9787
Ru: 0.3333 0.6667 0.6500
Zn: 0.6667 0.3333 0.3713

***

Spin magnetization
In order: 0.00, 0.00, 0.00, 0.00, 0.00, 0.00
Unit: μB/f.u.
DOS(E_F)
In order: 0.2191, 0.8185, 1.0010, 0.5821, 0.9451, 1.1051
Unit: states/eV/atom
Total DFT energy (no corrections)
In order: -4.872, -5.017, -10.822, -7.924, -10.017, -4.784
Unit: eV per atom